The following is a PBE calculation of crystalline Cs2Er2SnS6 at its relaxed geometry, from Alexandria.

Results
Uncorrected formation energy ... -139.8 kJ per mole of atoms
SG ... C2/m (12)
Energy ... -55.54 eV per cell

abc: 6.820 6.820 8.625
angles: 97.91 97.91 119.80
Atoms (fractional coordinates):
Cs 0.170 0.830 0.000
Cs 0.830 0.170 0.000
Er 0.333 0.667 0.500
Er 0.667 0.333 0.500
Sn 0.000 0.000 0.500
S 0.062 0.382 0.677
S 0.257 0.257 0.326
S 0.382 0.062 0.677
S 0.618 0.938 0.323
S 0.743 0.743 0.674
S 0.938 0.618 0.323